{
  "formula": "NaAs3C",
  "functional": "PBE",
  "state": "optimized geometry",
  "ef_kcal_per_mol_atoms": 55.0,
  "e_above_lowest_polymorph_ev_per_atom": 1.516,
  "volume_a3_per_cell": 123.1,
  "mass_density_kg_m3": 3505,
  "e_tot_ev_per_atom": -2.5139,
  "lattice_angstrom": [[-1.480, 4.367, 1.866], [0.058, -1.938, 4.581], [4.749, 1.385, 0.525]],
  "species": ["C", "As", "As", "As", "Na"],
  "frac_coords": [[0.500, 0.500, 0.500], [0.000, 0.500, 0.000], [0.500, 0.000, 0.000], [0.000, 0.000, 0.500], [0.000, 0.000, 0.000]]
}